1.
VASP calculation (GGA-PBEsol) on a geometry-optimized TeHRuI2 structure.

a b c (Å): 3.7256 5.4047 5.4047
angles (deg): 90.00 90.00 90.00
With the nearest neighbours (Å) after each atom.
Atoms (fractional coordinates):
I1 0.0000 0.0000 0.5000  2 H 2.70
I2 0.0000 0.5000 0.0000  2 H 2.70
Ru1 0.5000 0.5000 0.5000  8 I 3.28
Te1 0.5000 0.0000 0.0000  2 H 1.86
H1 0.0000 0.0000 0.0000  2 Te 1.86

Results
- SG: No. 123



2.
VASP calculation (GGA-PBEsol) on a geometry-optimized Ta2ReRh structure.

a b c (Å): 3.1978 3.1978 6.1779
angles (deg): 90.00 90.00 90.00
With the nearest neighbours (Å) after each atom.
Atoms (fractional coordinates):
Re1 0.5000 0.5000 0.0000  8 Ta 2.73
Rh1 0.5000 0.5000 0.5000  8 Ta 2.75
Ta1 0.0000 0.0000 0.7529  4 Re 2.73, 4 Rh 2.75, 1 Ta 3.05
Ta2 0.0000 0.0000 0.2471  4 Re 2.73, 4 Rh 2.75, 1 Ta 3.05

Results
- Calculated formation energy: -0.35 eV per atom
- SG: No. 123



3.
VASP calculation (GGA-PBEsol) on a geometry-optimized BaMgCd2 structure.

a b c (Å): 4.3101 5.2570 5.2570
angles (deg): 89.86 90.00 90.00
With the nearest neighbours (Å) after each atom.
Atoms (fractional coordinates):
Ba1 0.5000 0.5000 0.5000  8 Cd 3.40, 4 Mg 3.71-3.72
Cd1 0.0000 0.5000 0.0000  4 Mg 3.40, 4 Ba 3.40, 4 Cd 3.71-3.72
Cd2 0.0000 0.0000 0.5000  4 Ba 3.40, 4 Mg 3.40, 4 Cd 3.71-3.72
Mg1 0.5000 0.0000 0.0000  8 Cd 3.40, 4 Ba 3.71-3.72

Results
- Calculated formation energy: -0.07 eV per atom
- SG: No. 65



Calculated density, respectively: 7377 17112 5387 kg/m3.
Total DFT energy (no corrections), respectively: -15.11 -47.97 -6.53 eV/cell.